Record 1
Entry from the Alexandria database: a geometry-optimized Mn2As2Os structure (PBEsol).

POSCAR file:
```
Mn2As2Os
1.0
-2.108 2.108 3.914
2.108 -2.108 3.914
2.108 2.108 -3.914
Mn As Os
2 2 1
direct
0.126 0.126 0.000
0.874 0.874 0.000
0.250 0.750 0.500
0.750 0.250 0.500
0.500 0.500 0.000
```

DOS at the Fermi energy (states/eV/cell): 5.143
Energy of formation (eV per formula unit): 3.46
ρ (kg/m3): 10738
Energy (eV per cell): -38.49
Space-group type: I4/mmm

Record 2
Entry from the Alexandria database: a geometry-optimized MnAs3Os structure (PBEsol).

POSCAR file:
```
MnAs3Os
1.0
4.416 0.000 0.000
0.000 4.416 0.000
0.000 0.000 4.416
Mn As Os
1 3 1
direct
0.000 0.000 0.000
0.000 0.000 0.500
0.000 0.500 0.000
0.500 0.000 0.000
0.500 0.500 0.500
```

DOS at the Fermi energy (states/eV/cell): 6.738
Energy of formation (eV per formula unit): 5.40
ρ (kg/m3): 9060
Energy (eV per cell): -31.90
Space-group type: Pm-3m

Record 3
Entry from the Alexandria database: a geometry-optimized MnAs4Os structure (PBEsol).

POSCAR file:
```
MnAs4Os
1.0
0.000 3.728 3.728
3.728 0.000 3.728
3.728 3.728 0.000
Mn As Os
1 4 1
direct
0.000 0.000 0.000
0.126 0.625 0.625
0.625 0.126 0.625
0.625 0.625 0.126
0.625 0.625 0.625
0.250 0.250 0.250
```

DOS at the Fermi energy (states/eV/cell): 4.569
Energy of formation (eV per formula unit): 6.36
ρ (kg/m3): 8734
Energy (eV per cell): -36.05
Space-group type: F-43m

Record 4
Entry from the Alexandria database: a geometry-optimized MnAsOs structure (PBEsol).

POSCAR file:
```
MnAsOs
1.0
0.000 2.785 2.785
2.785 0.000 2.785
2.785 2.785 0.000
Mn As Os
1 1 1
direct
0.000 0.000 0.000
0.250 0.250 0.250
0.750 0.750 0.750
```

DOS at the Fermi energy (states/eV/cell): 2.501
Energy of formation (eV per formula unit): 0.63
ρ (kg/m3): 12301
Energy (eV per cell): -26.45
Space-group type: F-43m

Record 5
Entry from the Alexandria database: a geometry-optimized MnAs2Os structure (PBEsol).

POSCAR file:
```
MnAs2Os
1.0
2.993 0.000 0.000
0.000 3.676 0.000
0.000 0.000 5.273
Mn As Os
1 2 1
direct
0.000 0.000 0.000
0.000 0.000 0.497
0.500 0.500 0.854
0.500 0.500 0.328
```

DOS at the Fermi energy (states/eV/cell): 2.404
Energy of formation (eV per formula unit): 0.45
ρ (kg/m3): 11306
Energy (eV per cell): -31.74
Space-group type: Pmm2
Offset from the most stable computed form (eV per atom): 0.000

Record 6
Entry from the Alexandria database: a geometry-optimized MnAs2Os structure (PBEsol).

POSCAR file:
```
MnAs2Os
1.0
3.899 -1.467 0.000
3.899 1.467 0.000
-1.045 0.000 4.920
Mn As Os
1 2 1
direct
0.000 0.000 0.000
0.249 0.249 0.756
0.751 0.751 0.244
0.500 0.500 0.500
```

DOS at the Fermi energy (states/eV/cell): 3.570
Energy of formation (eV per formula unit): 0.86
ρ (kg/m3): 11658
Energy (eV per cell): -31.33
Space-group type: C2/m
Offset from the most stable computed form (eV per atom): 0.104

Record 7
Entry from the Alexandria database: a geometry-optimized MnAsP structure (PBEsol).

POSCAR file:
```
MnAsP
1.0
0.000 2.097 6.630
1.691 0.000 6.630
1.691 2.097 0.000
Mn As P
1 1 1
direct
0.000 0.000 0.000
0.358 0.358 0.642
0.620 0.620 0.380
```

DOS at the Fermi energy (states/eV/cell): 2.258
Energy of formation (eV per formula unit): 0.16
ρ (kg/m3): 5678
Energy (eV per cell): -20.50
Space-group type: Fmm2
Offset from the most stable computed form (eV per atom): 0.154

Record 8
Entry from the Alexandria database: a geometry-optimized Mn4AsP3 structure (PBEsol).

POSCAR file:
```
Mn4AsP3
1.0
5.205 0.000 0.000
0.000 3.156 0.000
-0.001 0.000 5.845
Mn As P
4 1 3
direct
0.000 0.000 0.000
0.003 0.500 0.597
0.507 0.000 0.106
0.521 0.500 0.483
0.322 0.000 0.725
0.198 0.500 0.228
0.703 0.500 0.873
0.823 0.000 0.366
```

DOS at the Fermi energy (states/eV/cell): 4.397
Energy of formation (eV per formula unit): -4.53
ρ (kg/m3): 6703
Energy (eV per cell): -66.05
Space-group type: Pm

Record 9
Entry from the Alexandria database: a geometry-optimized MnAsP structure (PBEsol).

POSCAR file:
```
MnAsP
1.0
-1.389 1.389 5.559
1.389 -1.389 5.559
1.389 1.389 -5.559
Mn As P
1 1 1
direct
0.000 0.000 0.000
0.356 0.356 0.000
0.611 0.611 0.000
```

DOS at the Fermi energy (states/eV/cell): 2.453
Energy of formation (eV per formula unit): -0.30
ρ (kg/m3): 6223
Energy (eV per cell): -20.96
Space-group type: I4mm
Offset from the most stable computed form (eV per atom): 0.000

Record 10
Entry from the Alexandria database: a geometry-optimized MnAs2Pb structure (PBEsol).

POSCAR file:
```
MnAs2Pb
1.0
7.710 -1.555 0.000
7.710 1.555 0.000
-0.765 0.000 3.366
Mn As Pb
1 2 1
direct
0.000 0.000 0.000
0.440 0.440 0.441
0.621 0.621 0.121
0.271 0.271 0.771
```

DOS at the Fermi energy (states/eV/cell): 2.239
Energy of formation (eV per formula unit): 0.42
ρ (kg/m3): 8473
Energy (eV per cell): -23.56
Space-group type: Cm

Record 11
Entry from the Alexandria database: a geometry-optimized MnAsPb2 structure (PBEsol).

POSCAR file:
```
MnAsPb2
1.0
-1.699 1.819 7.592
1.699 -1.819 7.592
1.699 1.819 -7.592
Mn As Pb
1 1 2
direct
0.000 0.000 0.000
0.500 0.500 0.000
0.169 0.669 0.500
0.831 0.331 0.500
```

DOS at the Fermi energy (states/eV/cell): 2.351
Energy of formation (eV per formula unit): 0.54
ρ (kg/m3): 9626
Energy (eV per cell): -22.32
Space-group type: Immm
Offset from the most stable computed form (eV per atom): 0.000

Record 12
Entry from the Alexandria database: a geometry-optimized MnAsPb2 structure (PBEsol).

POSCAR file:
```
MnAsPb2
1.0
3.630 -3.912 0.000
3.630 3.912 0.000
0.000 0.000 3.209
Mn As Pb
1 1 2
direct
0.000 0.000 0.000
0.500 0.500 0.000
0.000 0.500 0.500
0.500 0.000 0.500
```

DOS at the Fermi energy (states/eV/cell): 2.303
Energy of formation (eV per formula unit): 1.68
ρ (kg/m3): 9915
Energy (eV per cell): -21.18
Space-group type: Cmmm
Offset from the most stable computed form (eV per atom): 0.286